[1]
VASP calculation (PBE-GGA) on an optimized crystal structure of Ho3ScTl5.

Cell: 9.227 9.227 6.464 Å, 90.00 90.00 120.00°
Atoms (fractional coordinates):
Ho: 0.000 0.371 0.250
Ho: 0.000 0.629 0.750
Ho: 0.371 0.000 0.250
Ho: 0.371 0.371 0.750
Ho: 0.629 0.000 0.750
Ho: 0.629 0.629 0.250
Sc: 0.000 0.000 0.000
Sc: 0.000 0.000 0.500
Tl: 0.000 0.289 0.750
Tl: 0.000 0.711 0.250
Tl: 0.289 0.000 0.750
Tl: 0.289 0.289 0.250
Tl: 0.333 0.667 0.000
Tl: 0.333 0.667 0.500
Tl: 0.667 0.333 0.000
Tl: 0.667 0.333 0.500
Tl: 0.711 0.000 0.250
Tl: 0.711 0.711 0.750

=====

[2]
VASP calculation (PBE-GGA) on an optimized crystal structure of Ho2Sc8Tl.

Cell: 8.856 8.856 5.666 Å, 96.69 96.69 40.04°
Atoms (fractional coordinates):
Ho: 0.215 0.215 0.014
Ho: 0.785 0.785 0.986
Sc: 0.019 0.019 0.761
Sc: 0.097 0.591 0.503
Sc: 0.408 0.408 0.004
Sc: 0.409 0.903 0.497
Sc: 0.591 0.097 0.503
Sc: 0.592 0.592 0.996
Sc: 0.903 0.409 0.497
Sc: 0.981 0.981 0.239
Tl: 0.500 0.500 0.500

=====

[3]
VASP calculation (PBE-GGA) on an optimized crystal structure of Ho3ScTl4.

Cell: 9.870 6.606 6.556 Å, 90.00 90.00 90.00°
Atoms (fractional coordinates):
Ho: 0.000 0.001 0.000
Ho: 0.250 0.259 0.251
Ho: 0.250 0.741 0.751
Ho: 0.500 0.999 0.500
Ho: 0.750 0.259 0.251
Ho: 0.750 0.741 0.751
Sc: 0.000 0.501 0.003
Sc: 0.500 0.499 0.503
Tl: 0.000 0.000 0.500
Tl: 0.000 0.500 0.502
Tl: 0.250 0.249 0.751
Tl: 0.250 0.751 0.251
Tl: 0.500 0.000 0.000
Tl: 0.500 0.500 0.002
Tl: 0.750 0.249 0.751
Tl: 0.750 0.751 0.251

=====

It is found that the Fermi-level density of states values, taken in the order of the records, are 15.4, 18.0, 14.9 states/eV per cell.
It is found that the energy of formation values, taken in the order of the records, are -0.280, 0.077, -0.199 eV per atom.